# 1
Entry from the Alexandria database: a geometry-optimized TbZrGa4 structure (PBE). Values from VASP.

Output
theoretical density	7.4	g/cm3
calculated formation energy	-536	meV/atom
offset from the most stable computed form	0.011	eV per atom
energy	-28.500	eV for the cell shown
symmetry	I-4m2

```
&SYSTEM
  ibrav = 0, nat = 6, ntyp = 3
/
ATOMIC_SPECIES
Tb 158.93 Tb.upf
Zr 91.22 Zr.upf
Ga 69.72 Ga.upf
ATOMIC_POSITIONS angstrom
Tb 1.123 -2.834 2.818
Zr 0.000 0.000 0.000
Ga -0.418 -0.153 3.114
Ga -1.715 -1.726 1.902
Ga 0.791 -0.783 5.127
Ga 3.025 -1.576 5.036
CELL_PARAMETERS angstrom
-3.233 0.943 2.237
-1.360 -3.789 -0.369
5.903 -0.456 5.071
```

# 2
Entry from the Alexandria database: a geometry-optimized TbZrGa4 structure (PBE). Values from VASP.

Output
theoretical density	7.9	g/cm3
calculated formation energy	-502	meV/atom
offset from the most stable computed form	0.045	eV per atom
energy	-28.295	eV for the cell shown
symmetry	F-43m

```
&SYSTEM
  ibrav = 0, nat = 6, ntyp = 3
/
ATOMIC_SPECIES
Tb 158.93 Tb.upf
Ga 69.72 Ga.upf
Zr 91.22 Zr.upf
ATOMIC_POSITIONS angstrom
Tb 2.701 1.559 1.103
Ga 5.401 3.119 0.548
Ga 5.401 1.556 2.758
Ga 6.755 3.900 2.758
Ga 4.048 3.900 2.758
Zr 0.000 0.000 0.000
CELL_PARAMETERS angstrom
5.401 0.000 0.000
2.701 4.678 0.000
2.701 1.559 4.410
```

# 3
Entry from the Alexandria database: a geometry-optimized TbZrGa4 structure (PBE). Values from VASP.

Output
theoretical density	7.5	g/cm3
calculated formation energy	-547	meV/atom
offset from the most stable computed form	0.000	eV per atom
energy	-28.568	eV for the cell shown
symmetry	Immm

```
&SYSTEM
  ibrav = 0, nat = 6, ntyp = 3
/
ATOMIC_SPECIES
Tb 158.93 Tb.upf
Zr 91.22 Zr.upf
Ga 69.72 Ga.upf
ATOMIC_POSITIONS angstrom
Tb 0.000 0.000 0.000
Zr 4.178 3.092 2.288
Ga 2.089 2.277 0.187
Ga 2.089 0.845 2.123
Ga 6.267 3.906 4.388
Ga 6.267 5.339 2.452
CELL_PARAMETERS angstrom
4.178 0.000 0.000
2.089 5.248 -0.627
2.089 0.935 5.202
```

# 4
Entry from the Alexandria database: a geometry-optimized Tb2ZrGa9 structure (PBE). Values from VASP.

Output
theoretical density	7.5	g/cm3
calculated formation energy	-520	meV/atom
energy	-51.288	eV for the cell shown
symmetry	P4/mmm

```
&SYSTEM
  ibrav = 0, nat = 12, ntyp = 3
/
ATOMIC_SPECIES
Tb 158.93 Tb.upf
Zr 91.22 Zr.upf
Ga 69.72 Ga.upf
ATOMIC_POSITIONS angstrom
Tb -2.021 -0.856 3.524
Tb -4.156 -1.760 7.248
Zr 0.000 0.000 0.000
Ga -2.229 1.821 -0.836
Ga -4.292 0.948 2.761
Ga -6.343 0.079 6.339
Ga -1.413 1.643 1.973
Ga -3.516 0.752 5.641
Ga -5.619 -0.139 9.309
Ga -2.787 -0.656 0.627
Ga -4.890 -1.547 4.295
Ga -6.993 -2.438 7.963
CELL_PARAMETERS angstrom
-0.855 4.120 0.510
-3.603 -0.478 -2.182
-6.177 -2.616 10.772
```

# 5
Entry from the Alexandria database: a geometry-optimized TbZr2Ga structure (PBE). Values from VASP.

Output
theoretical density	7.7	g/cm3
calculated formation energy	-229	meV/atom
offset from the most stable computed form	0.078	eV per atom
energy	-25.668	eV for the cell shown
symmetry	P4/mmm

```
&SYSTEM
  ibrav = 0, nat = 4, ntyp = 3
/
ATOMIC_SPECIES
Tb 158.93 Tb.upf
Ga 69.72 Ga.upf
Zr 91.22 Zr.upf
ATOMIC_POSITIONS angstrom
Tb 2.225 2.236 2.236
Ga 2.225 0.000 0.000
Zr 0.000 0.000 2.236
Zr 0.000 2.236 0.000
CELL_PARAMETERS angstrom
4.450 0.000 0.000
0.000 4.472 0.000
0.000 0.000 4.472
```

# 6
Entry from the Alexandria database: a geometry-optimized TbZr2Ga structure (PBE). Values from VASP.

Output
theoretical density	7.3	g/cm3
calculated formation energy	-52	meV/atom
offset from the most stable computed form	0.255	eV per atom
energy	-24.963	eV for the cell shown
symmetry	Cm

```
&SYSTEM
  ibrav = 0, nat = 4, ntyp = 3
/
ATOMIC_SPECIES
Tb 158.93 Tb.upf
Zr 91.22 Zr.upf
Ga 69.72 Ga.upf
ATOMIC_POSITIONS angstrom
Tb 3.308 1.910 4.946
Zr 1.652 0.954 7.662
Zr 1.651 0.953 2.220
Ga 3.309 1.910 -0.002
CELL_PARAMETERS angstrom
3.312 -0.002 -0.003
1.654 2.870 -0.003
1.647 0.951 9.889
```

# 7
Entry from the Alexandria database: a geometry-optimized TbZr2Ga structure (PBE). Values from VASP.

Output
theoretical density	7.2	g/cm3
calculated formation energy	-307	meV/atom
offset from the most stable computed form	0.000	eV per atom
energy	-51.963	eV for the cell shown
symmetry	P2_1/m

```
&SYSTEM
  ibrav = 0, nat = 8, ntyp = 3
/
ATOMIC_SPECIES
Tb 158.93 Tb.upf
Zr 91.22 Zr.upf
Ga 69.72 Ga.upf
ATOMIC_POSITIONS angstrom
Tb 0.302 5.984 2.203
Tb -2.267 3.550 3.627
Zr -1.185 8.967 3.301
Zr -0.780 0.566 2.529
Zr 0.910 7.834 5.200
Zr -2.875 1.700 0.631
Ga -1.619 6.334 4.654
Ga -0.346 3.200 1.176
CELL_PARAMETERS angstrom
-4.162 0.851 0.319
0.007 -1.501 4.085
2.191 10.184 1.425
```

# 8
Entry from the Alexandria database: a geometry-optimized Tb5ZrGa4 structure (PBE). Values from VASP.

Output
theoretical density	7.5	g/cm3
calculated formation energy	-336	meV/atom
energy	-47.170	eV for the cell shown
symmetry	C2/m

```
&SYSTEM
  ibrav = 0, nat = 10, ntyp = 3
/
ATOMIC_SPECIES
Tb 158.93 Tb.upf
Zr 91.22 Zr.upf
Ga 69.72 Ga.upf
ATOMIC_POSITIONS angstrom
Tb 2.143 3.641 6.824
Tb -0.372 4.184 4.202
Tb 5.121 1.512 6.264
Tb 1.289 -1.030 4.216
Tb 2.606 2.055 3.642
Zr -1.477 -0.467 1.320
Ga 5.098 4.347 7.241
Ga 3.450 5.698 9.013
Ga -0.349 1.349 3.225
Ga 1.299 -0.002 1.453
CELL_PARAMETERS angstrom
-2.955 -0.934 2.641
5.532 -1.126 5.791
2.172 7.756 2.034
```

# 9
Entry from the Alexandria database: a geometry-optimized TbZrGa structure (PBE). Values from VASP.

Output
theoretical density	7.3	g/cm3
calculated formation energy	-171	meV/atom
offset from the most stable computed form	0.262	eV per atom
energy	-16.719	eV for the cell shown
symmetry	P3m1

```
&SYSTEM
  ibrav = 0, nat = 3, ntyp = 3
/
ATOMIC_SPECIES
Tb 158.93 Tb.upf
Ga 69.72 Ga.upf
Zr 91.22 Zr.upf
ATOMIC_POSITIONS angstrom
Tb -1.630 -2.697 1.909
Ga 1.397 -1.374 2.045
Zr -0.389 0.016 0.460
CELL_PARAMETERS angstrom
-2.364 0.099 2.793
-1.912 -4.134 -1.472
3.654 -0.020 3.093
```

# 10
Entry from the Alexandria database: a geometry-optimized Tb2ZrGa structure (PBE). Values from VASP.

Output
theoretical density	8.2	g/cm3
calculated formation energy	-203	meV/atom
offset from the most stable computed form	0.017	eV per atom
energy	-21.648	eV for the cell shown
symmetry	P4/mmm

```
&SYSTEM
  ibrav = 0, nat = 4, ntyp = 3
/
ATOMIC_SPECIES
Tb 158.93 Tb.upf
Ga 69.72 Ga.upf
Zr 91.22 Zr.upf
ATOMIC_POSITIONS angstrom
Tb 0.000 0.000 2.289
Tb 0.000 2.289 0.000
Ga 2.306 0.000 0.000
Zr 2.306 2.289 2.289
CELL_PARAMETERS angstrom
4.611 0.000 0.000
0.000 4.578 0.000
0.000 0.000 4.578
```

# 11
Entry from the Alexandria database: a geometry-optimized Tb3ZrGa12 structure (PBE). Values from VASP.

Output
theoretical density	7.6	g/cm3
calculated formation energy	-523	meV/atom
energy	-67.132	eV for the cell shown
symmetry	P4/mmm

```
&SYSTEM
  ibrav = 0, nat = 16, ntyp = 3
/
ATOMIC_SPECIES
Tb 158.93 Tb.upf
Zr 91.22 Zr.upf
Ga 69.72 Ga.upf
ATOMIC_POSITIONS angstrom
Tb 0.000 0.000 4.162
Tb 0.000 0.000 8.527
Tb 0.000 0.000 12.892
Zr 0.000 0.000 0.000
Ga 2.118 2.118 0.000
Ga 2.118 2.118 4.252
Ga 2.118 2.118 8.527
Ga 2.118 2.118 12.802
Ga 2.118 0.000 2.041
Ga 2.118 0.000 6.360
Ga 2.118 0.000 10.694
Ga 2.118 0.000 15.013
Ga 0.000 2.118 2.041
Ga 0.000 2.118 6.360
Ga 0.000 2.118 10.694
Ga 0.000 2.118 15.013
CELL_PARAMETERS angstrom
4.237 0.000 0.000
0.000 4.237 0.000
0.000 0.000 17.054
```

# 12
Entry from the Alexandria database: a geometry-optimized Tb2ZrGa structure (PBE). Values from VASP.

Output
theoretical density	7.5	g/cm3
calculated formation energy	128	meV/atom
offset from the most stable computed form	0.348	eV per atom
energy	-20.323	eV for the cell shown
symmetry	R-3m

```
&SYSTEM
  ibrav = 0, nat = 4, ntyp = 3
/
ATOMIC_SPECIES
Tb 158.93 Tb.upf
Ga 69.72 Ga.upf
Zr 91.22 Zr.upf
ATOMIC_POSITIONS angstrom
Tb 1.660 0.959 7.877
Tb 4.981 2.876 3.234
Ga 3.321 1.917 5.555
Zr 0.000 0.000 0.000
CELL_PARAMETERS angstrom
3.321 0.000 0.000
1.660 2.876 0.000
1.660 0.959 11.111
```